(1)
Fe2PtRh | SCAN | PBEsol geometry

Structure (POSCAR):
```
Fe2PtRh
1.0
-2.916 2.303 -0.646
-2.366 -2.927 0.242
2.301 0.881 3.764
Rh Fe Pt
1 2 1
direct
0.000 0.000 0.000 Rh
0.250 0.750 0.500 Fe
0.750 0.250 0.500 Fe
0.500 0.500 0.000 Pt
```

Results
- Symmetry: I4/mmm (139)
- Magnetization: 7.2 μB/f.u.
- Uncorrected energy: -141.45 eV for the cell shown

=====

(2)
KSrRu2 | SCAN | PBEsol geometry

Structure (POSCAR):
```
KSrRu2
1.0
2.971 0.000 0.187
0.000 3.727 0.000
-0.276 0.000 9.497
K Ru Sr
1 2 1
direct
0.534 0.500 0.826 K
0.004 0.000 0.092 Ru
0.493 0.500 0.178 Ru
0.969 0.000 0.404 Sr
```

Results
- Symmetry: Pm (6)
- Magnetization: 0.1 μB/f.u.
- Uncorrected energy: -98.00 eV for the cell shown

=====

(3)
YTc2Rh | SCAN | PBEsol geometry

Structure (POSCAR):
```
YTc2Rh
1.0
3.742 0.000 0.000
0.000 3.742 0.000
0.000 0.000 4.686
Rh Tc Y
1 2 1
direct
0.000 0.000 0.500 Rh
0.000 0.500 0.000 Tc
0.500 0.000 0.000 Tc
0.500 0.500 0.500 Y
```

Results
- Symmetry: P4/mmm (123)
- Magnetization: 0.0 μB/f.u.
- Uncorrected energy: -131.56 eV for the cell shown

=====

Number 1: energy of formation -0.31 eV per atom. Number 2: energy of formation 0.56 eV per atom. Number 3: energy of formation 0.04 eV per atom.